1.
# TiOsBr3 | the Alexandria database | PBEsol | relaxed
data_TiOsBr3
_chemical_formula_sum 'Ti1 Os1 Br3'
_space_group_name_H-M_alt 'P 1'
_space_group_IT_number 1
_cell_length_a 4.957
_cell_length_b 4.957
_cell_length_c 4.957
_cell_angle_alpha 90.00
_cell_angle_beta 90.00
_cell_angle_gamma 90.00
loop_
_space_group_symop_operation_xyz
'x,y,z'
loop_
_atom_site_label
_atom_site_type_symbol
_atom_site_fract_x
_atom_site_fract_y
_atom_site_fract_z
Ti1 Ti 0.000 0.000 0.000
Os1 Os 0.500 0.500 0.500
Br1 Br 0.000 0.500 0.500
Br2 Br 0.500 0.000 0.500
Br3 Br 0.500 0.500 0.000
# SG ... Pm-3m, No. 221
# ρ ... 6.5 g cm⁻³
# Energy relative to the elements, uncorrected ... 830 meV/atom
# Total magnetization ... 1.68 μB/f.u.

***

2.
# Ta7B8Ru6 | the Alexandria database | PBEsol | relaxed
data_Ta7B8Ru6
_chemical_formula_sum 'Ta7 B8 Ru6'
_space_group_name_H-M_alt 'P 1'
_space_group_IT_number 1
_cell_length_a 9.478
_cell_length_b 9.478
_cell_length_c 3.102
_cell_angle_alpha 90.00
_cell_angle_beta 90.00
_cell_angle_gamma 120.00
loop_
_space_group_symop_operation_xyz
'x,y,z'
loop_
_atom_site_label
_atom_site_type_symbol
_atom_site_fract_x
_atom_site_fract_y
_atom_site_fract_z
Ta1 Ta 0.000 0.000 0.000
Ta2 Ta 0.087 0.724 0.000
Ta3 Ta 0.276 0.363 0.000
Ta4 Ta 0.363 0.087 0.000
Ta5 Ta 0.637 0.913 0.000
Ta6 Ta 0.724 0.637 0.000
Ta7 Ta 0.913 0.276 0.000
B1 B 0.065 0.220 0.500
B2 B 0.154 0.935 0.500
B3 B 0.220 0.154 0.500
B4 B 0.333 0.667 0.000
B5 B 0.667 0.333 0.000
B6 B 0.780 0.846 0.500
B7 B 0.846 0.065 0.500
B8 B 0.935 0.780 0.500
Ru1 Ru 0.154 0.514 0.500
Ru2 Ru 0.360 0.846 0.500
Ru3 Ru 0.486 0.640 0.500
Ru4 Ru 0.514 0.360 0.500
Ru5 Ru 0.640 0.154 0.500
Ru6 Ru 0.846 0.486 0.500
# Energy of formation ... -0.692 eV per atom
# SG ... P6/m, No. 175
# ρ ... 13.5 g cm⁻³
# Total magnetization ... 0.00 μB/f.u.

***

3.
# NbTeI2O | the Alexandria database | PBEsol | relaxed
data_NbTeI2O
_chemical_formula_sum 'Nb1 Te1 I2 O1'
_space_group_name_H-M_alt 'P 1'
_space_group_IT_number 1
_cell_length_a 5.493
_cell_length_b 5.493
_cell_length_c 5.296
_cell_angle_alpha 90.00
_cell_angle_beta 90.00
_cell_angle_gamma 90.00
loop_
_space_group_symop_operation_xyz
'x,y,z'
loop_
_atom_site_label
_atom_site_type_symbol
_atom_site_fract_x
_atom_site_fract_y
_atom_site_fract_z
Nb1 Nb 0.000 0.000 0.000
Te1 Te 0.000 0.000 0.500
I1 I 0.000 0.500 0.000
I2 I 0.500 0.000 0.000
O1 O 0.500 0.500 0.500
# SG ... P4/mmm, No. 123
# ρ ... 5.1 g cm⁻³
# Energy relative to the elements, uncorrected ... 556 meV/atom
# Total magnetization ... 1.58 μB/f.u.

***

4.
# La3HfGa5O14 | the Alexandria database | PBEsol | relaxed
data_La3HfGa5O14
_chemical_formula_sum 'La3 Hf1 Ga5 O14'
_space_group_name_H-M_alt 'P 1'
_space_group_IT_number 1
_cell_length_a 8.248
_cell_length_b 8.248
_cell_length_c 5.143
_cell_angle_alpha 90.00
_cell_angle_beta 90.00
_cell_angle_gamma 120.00
loop_
_space_group_symop_operation_xyz
'x,y,z'
loop_
_atom_site_label
_atom_site_type_symbol
_atom_site_fract_x
_atom_site_fract_y
_atom_site_fract_z
La1 La 0.000 0.573 0.000
La2 La 0.427 0.427 0.000
La3 La 0.573 0.000 0.000
Hf1 Hf 0.000 0.000 0.000
Ga1 Ga 0.000 0.245 0.500
Ga2 Ga 0.245 0.000 0.500
Ga3 Ga 0.333 0.667 0.531
Ga4 Ga 0.667 0.333 0.469
Ga5 Ga 0.755 0.755 0.500
O1 O 0.079 0.852 0.243
O2 O 0.146 0.458 0.701
O3 O 0.148 0.227 0.243
O4 O 0.227 0.148 0.757
O5 O 0.312 0.854 0.701
O6 O 0.333 0.667 0.179
O7 O 0.458 0.146 0.299
O8 O 0.542 0.688 0.701
O9 O 0.667 0.333 0.821
O10 O 0.688 0.542 0.299
O11 O 0.773 0.921 0.243
O12 O 0.852 0.079 0.757
O13 O 0.854 0.312 0.299
O14 O 0.921 0.773 0.757
# SG ... P321, No. 150
# ρ ... 6.4 g cm⁻³
# Energy relative to the elements, uncorrected ... -2675 meV/atom
# Total magnetization ... 0.00 μB/f.u.

***

5.
# AlTeMo | the Alexandria database | PBEsol | relaxed
data_AlTeMo
_chemical_formula_sum 'Al1 Te1 Mo1'
_space_group_name_H-M_alt 'P 1'
_space_group_IT_number 1
_cell_length_a 4.442
_cell_length_b 4.442
_cell_length_c 4.442
_cell_angle_alpha 60.00
_cell_angle_beta 60.00
_cell_angle_gamma 60.00
loop_
_space_group_symop_operation_xyz
'x,y,z'
loop_
_atom_site_label
_atom_site_type_symbol
_atom_site_fract_x
_atom_site_fract_y
_atom_site_fract_z
Al1 Al 0.000 0.000 0.000
Te1 Te 0.500 0.500 0.500
Mo1 Mo 0.750 0.750 0.750
# SG ... F-43m, No. 216
# ρ ... 6.7 g cm⁻³
# Energy relative to the elements, uncorrected ... 477 meV/atom
# Total magnetization ... 0.34 μB/f.u.

***

6.
# Li5Pb3 | the Alexandria database | PBEsol | relaxed
data_Li5Pb3
_chemical_formula_sum 'Li10 Pb6'
_space_group_name_H-M_alt 'P 1'
_space_group_IT_number 1
_cell_length_a 8.309
_cell_length_b 8.309
_cell_length_c 5.697
_cell_angle_alpha 90.00
_cell_angle_beta 90.00
_cell_angle_gamma 120.00
loop_
_space_group_symop_operation_xyz
'x,y,z'
loop_
_atom_site_label
_atom_site_type_symbol
_atom_site_fract_x
_atom_site_fract_y
_atom_site_fract_z
Li1 Li 0.000 0.249 0.250
Li2 Li 0.000 0.751 0.750
Li3 Li 0.249 0.000 0.250
Li4 Li 0.249 0.249 0.750
Li5 Li 0.333 0.667 0.000
Li6 Li 0.333 0.667 0.500
Li7 Li 0.667 0.333 0.000
Li8 Li 0.667 0.333 0.500
Li9 Li 0.751 0.000 0.750
Li10 Li 0.751 0.751 0.250
Pb1 Pb 0.000 0.398 0.750
Pb2 Pb 0.000 0.602 0.250
Pb3 Pb 0.398 0.000 0.750
Pb4 Pb 0.398 0.398 0.250
Pb5 Pb 0.602 0.000 0.250
Pb6 Pb 0.602 0.602 0.750
# Energy of formation ... -0.259 eV per atom
# SG ... P6_3/mcm, No. 193
# ρ ... 6.4 g cm⁻³
# Total magnetization ... 0.00 μB/f.u.